DFT (GGA-PBE) results for a relaxed structure of BaMnCu2S4.

Results
* SG: I222 (23)
* raw formation energy: -729 meV/atom
* VASP energy: -41.6 eV for the cell shown
* D(E_F): 0.439 states/eV per atom

CIF file:
```
data_BaMnCu2S4
_chemical_formula_sum 'Ba1 Mn1 Cu2 S4'
_cell_length_a 6.2780
_cell_length_b 6.2780
_cell_length_c 6.2780
_cell_angle_alpha 125.43
_cell_angle_beta 106.00
_cell_angle_gamma 98.33
_space_group_name_H-M_alt 'P 1'
_space_group_IT_number 1
_space_group_name_Hall 'P 1'
loop_
_atom_site_label
_atom_site_fract_x
_atom_site_fract_y
_atom_site_fract_z
Ba1 0.0000 0.0000 0.0000
Mn1 0.5000 0.5000 0.0000
Cu1 0.3461 0.8461 0.5000
Cu2 0.6539 0.1539 0.5000
S1 0.1585 0.1380 0.6173
S2 0.4793 0.8620 0.0205
S3 0.5207 0.5412 0.3827
S4 0.8415 0.4588 0.9795
```